Crystalline LiAl5V at its relaxed geometry, computed with PBE-GGA.

Cell and atoms, written as POSCAR:
```
LiAl5V
1.0
5.4798 0.0000 0.0000
2.1091 6.5881 0.0000
2.3236 2.5496 6.1337
Li Al V
2 10 2
Direct
0.0149 0.3295 0.2077
0.9851 0.6705 0.7923
0.1337 0.6005 0.2847
0.2010 0.9151 0.3643
0.3011 0.1381 0.5874
0.3870 0.2267 0.9135
0.4126 0.6852 0.8294
0.5874 0.3148 0.1706
0.6130 0.7733 0.0865
0.6989 0.8619 0.4126
0.7990 0.0849 0.6357
0.8663 0.3995 0.7153
0.0000 0.0000 0.0000
0.5000 0.5000 0.5000
```

Properties
E (eV per atom): -4.254
Space group: No. 2
Energy of formation from the pure elements (eV/atom): -0.004